4
Lattice="2.743 0.000 0.000 0.000 4.567 0.000 0.000 0.000 4.717" Properties=species:S:1:pos:R:3 comment="ReRh2Au | the Alexandria database | SCAN | PBEsol geometry" volume_a3_per_atom=14.77 ef_ev_per_fu=1.78 spacegroup="Pmmm (47)" mass_density_g_cm3=16.6 relative_energy_mev_per_atom=528 pbc="T T T"
Au 1.371 2.283 0.000
Re 0.000 2.283 2.358
Rh 0.000 0.000 0.000
Rh 1.371 0.000 2.358